This record from Alexandria describes ThBeAg after structural relaxation. The functional is PBE-GGA.

Its crystal system is orthorhombic.

The structure belongs to space group Pmma (No. 51); the cell edges are 12.485, 4.276 and 6.833 Å and the angles 90.00°, 90.00° and 90.00°. The asymmetric unit holds Th at (0.034, 0.000, 0.248), Th at (0.250, 0.000, 0.875), Be at (0.088, 0.500, 0.960), Be at (0.250, 0.000, 0.429), Ag at (0.134, 0.500, 0.583) and Ag at (0.250, 0.500, 0.217).


This record from Alexandria describes BaCdC after structural relaxation. The functional is PBE-GGA.

For the excess energy over the best structure of this formula in the dataset, the calculation gives 22 kJ/mol of formula units. Its crystal system is triclinic.

The structure belongs to space group P1 (No. 1); the cell edges are 4.143, 4.901 and 8.580 Å and the angles 90.00°, 96.32° and 90.26°. The asymmetric unit holds Ba at (0.000, 0.000, 0.000), Ba at (0.114, 0.500, 0.598), Cd at (0.535, 0.499, 0.235), Cd at (0.580, 0.999, 0.407), C at (0.481, 0.497, 0.960) and C at (0.662, 0.500, 0.849).


This record from Alexandria describes InAs5 after structural relaxation. The functional is PBE-GGA.

For the excess energy over the best structure of this formula in the dataset, the calculation gives 0 kJ/mol of formula units. Its crystal system is monoclinic.

The structure belongs to space group Cm (No. 8); the cell edges are 13.301, 3.591 and 7.938 Å and the angles 90.00°, 126.14° and 90.00°. The asymmetric unit holds In at (0.000, 0.000, 0.000), As at (0.025, 0.000, 0.673), As at (0.172, 0.500, 0.689), As at (0.222, 0.000, 0.387), As at (0.323, 0.500, 0.314) and As at (0.330, 0.000, 0.982).


This record from Alexandria describes Ag3Os after structural relaxation. The functional is PBE-GGA.

For the excess energy over the best structure of this formula in the dataset, the calculation gives 34 kJ/mol of formula units. Its crystal system is orthorhombic.

The structure belongs to space group Pnma (No. 62); the cell edges are 4.712, 9.542 and 6.016 Å and the angles 90.00°, 90.00° and 90.00°. The asymmetric unit holds Ag at (0.108, 0.250, 0.130), Ag at (0.243, 0.005, 0.382) and Os at (0.104, 0.250, 0.667).


This record from Alexandria describes ScV2Ga2 after structural relaxation. The functional is PBE-GGA.

For the excess energy over the best structure of this formula in the dataset, the calculation gives 43 kJ/mol of formula units. Its crystal system is tetragonal.

The structure belongs to space group P4/mbm (No. 127); the cell edges are 7.667, 7.667 and 2.713 Å and the angles 90.00°, 90.00° and 90.00°. The asymmetric unit holds Sc at (0.000, 0.000, 0.000), V at (0.109, 0.391, 0.000) and Ga at (0.183, 0.683, 0.500).


This record from Alexandria describes Be2ZnRu after structural relaxation. The functional is PBE-GGA.

Its crystal system is cubic.

The structure belongs to space group F-43m (No. 216); the cell edges are 5.666, 5.666 and 5.666 Å and the angles 90.00°, 90.00° and 90.00°. The asymmetric unit holds Be at (0.000, 0.000, 0.000), Be at (0.250, 0.250, 0.250), Zn at (0.250, 0.250, 0.750) and Ru at (0.000, 0.000, 0.500).


Computed formation energy, in the same sequence as the records: 0.01, 0.03, 0.14, 0.49, -0.18, 0.03 eV per atom.